Entry 1:
# BaCaDyIn PBE relaxed
# Size of the total moment in Bohr magnetons per cell: 0.00
data_BaCaDyIn
_symmetry_space_group_name_H-M 'F -4 3 m'
_symmetry_Int_Tables_number 216
_symmetry_space_group_name_Hall 'F -4 2 3'
_cell_length_a 8.254
_cell_length_b 8.254
_cell_length_c 8.254
_cell_angle_alpha 90.00
_cell_angle_beta 90.00
_cell_angle_gamma 90.00
loop_
_atom_site_label
_atom_site_type_symbol
_atom_site_fract_x
_atom_site_fract_y
_atom_site_fract_z
Ba1 Ba 0.000 0.000 0.000
Ca1 Ca 0.250 0.250 0.750
Dy1 Dy 0.000 0.000 0.500
In1 In 0.250 0.250 0.250

Entry 2:
# BaCaDyMg PBE relaxed
# Size of the total moment in Bohr magnetons per cell: 0.01
data_BaCaDyMg
_symmetry_space_group_name_H-M 'F -4 3 m'
_symmetry_Int_Tables_number 216
_symmetry_space_group_name_Hall 'F -4 2 3'
_cell_length_a 8.411
_cell_length_b 8.411
_cell_length_c 8.411
_cell_angle_alpha 90.00
_cell_angle_beta 90.00
_cell_angle_gamma 90.00
loop_
_atom_site_label
_atom_site_type_symbol
_atom_site_fract_x
_atom_site_fract_y
_atom_site_fract_z
Ba1 Ba 0.000 0.000 0.000
Ca1 Ca 0.250 0.250 0.250
Dy1 Dy 0.000 0.000 0.500
Mg1 Mg 0.250 0.250 0.750

Looking at E_form for the records above, in order, we have -0.07 0.15 eV per atom.